Record 1
This record from Alexandria via LeMat-Bulk describes crystalline Ba5O4 at its relaxed geometry. The functional is PBE.

Structure (CIF):
```
data_Ba5O4
_chemical_formula_sum 'Ba10 O8'
_cell_length_a 11.403
_cell_length_b 11.403
_cell_length_c 4.320
_cell_angle_alpha 90.00
_cell_angle_beta 90.00
_cell_angle_gamma 90.00
_symmetry_space_group_name_H-M 'I 4/m'
_symmetry_Int_Tables_number 87
_symmetry_space_group_name_Hall '-I 4'
loop_
_atom_site_label
_atom_site_type_symbol
_atom_site_fract_x
_atom_site_fract_y
_atom_site_fract_z
Ba1 Ba 0.000 0.000 0.000
Ba2 Ba 0.115 0.726 0.500
O1 O 0.162 0.174 0.000
```

As for the formation energy from raw total energies: -2091 meV per atom. The crystal system is tetragonal. As for the energy above the most stable polymorph in this dataset: 3.82 kJ per mole of atoms.

***

Record 2
This record from Alexandria via LeMat-Bulk describes crystalline TaTcSe at its relaxed geometry. The functional is PBE.

Structure (CIF):
```
data_TaTcSe
_chemical_formula_sum 'Ta4 Tc4 Se4'
_cell_length_a 6.124
_cell_length_b 6.124
_cell_length_c 6.124
_cell_angle_alpha 90.00
_cell_angle_beta 90.00
_cell_angle_gamma 90.00
_symmetry_space_group_name_H-M 'F -4 3 m'
_symmetry_Int_Tables_number 216
_symmetry_space_group_name_Hall 'F -4 2 3'
loop_
_atom_site_label
_atom_site_type_symbol
_atom_site_fract_x
_atom_site_fract_y
_atom_site_fract_z
Ta1 Ta 0.000 0.000 0.000
Tc1 Tc 0.250 0.250 0.750
Se1 Se 0.250 0.250 0.250
```

As for the formation energy from raw total energies: 406 meV per atom. The crystal system is cubic. As for the energy above the most stable polymorph in this dataset: 46.98 kJ per mole of atoms.

***

Record 3
This record from Alexandria via LeMat-Bulk describes crystalline Sm8Pd2Ru at its relaxed geometry. The functional is PBE.

Structure (CIF):
```
data_Sm8Pd2Ru
_chemical_formula_sum 'Sm16 Pd4 Ru2'
_cell_length_a 17.579
_cell_length_b 5.163
_cell_length_c 6.888
_cell_angle_alpha 90.00
_cell_angle_beta 103.81
_cell_angle_gamma 90.00
_symmetry_space_group_name_H-M 'C 1 2/m 1'
_symmetry_Int_Tables_number 12
_symmetry_space_group_name_Hall '-C 2y'
loop_
_atom_site_label
_atom_site_type_symbol
_atom_site_fract_x
_atom_site_fract_y
_atom_site_fract_z
Sm1 Sm 0.031 0.000 0.289
Sm2 Sm 0.089 0.500 0.940
Sm3 Sm 0.164 0.500 0.472
Sm4 Sm 0.201 0.000 0.822
Pd1 Pd 0.192 0.000 0.229
Ru1 Ru 0.000 0.500 0.500
```

The crystal system is monoclinic.

***

Record 4
This record from Alexandria via LeMat-Bulk describes crystalline Pm4Nd2Th at its relaxed geometry. The functional is PBE.

Structure (CIF):
```
data_Pm4Nd2Th
_chemical_formula_sum 'Pm16 Nd8 Th4'
_cell_length_a 6.768
_cell_length_b 11.770
_cell_length_c 12.361
_cell_angle_alpha 90.00
_cell_angle_beta 90.00
_cell_angle_gamma 90.00
_symmetry_space_group_name_H-M 'I m m a'
_symmetry_Int_Tables_number 74
_symmetry_space_group_name_Hall '-I 2b 2'
loop_
_atom_site_label
_atom_site_type_symbol
_atom_site_fract_x
_atom_site_fract_y
_atom_site_fract_z
Pm1 Pm 0.000 0.006 0.147
Pm2 Pm 0.226 0.250 0.990
Nd1 Nd 0.000 0.000 0.500
Nd2 Nd 0.000 0.250 0.724
Th1 Th 0.250 0.250 0.250
```

The crystal system is orthorhombic. As for the energy above the most stable polymorph in this dataset: 22.71 kJ per mole of atoms.

***

| no. | electronic total energy (eV per atom) |
| --- | --- |
| 1 | -5.36 |
| 2 | -8.16 |
| 3 | -5.56 |
| 4 | -4.86 |